Record 1
The following is a DFT calculation (GGA-PBE) of a geometry-optimized Sm2HoTi structure.

```
4
Lattice="3.3800 0.0000 0.0000 1.6900 2.9272 0.0000 1.6900 0.9757 11.8208" Properties=species:S:1:pos:R:3 pbc="T T T"
Ti 0.0000 0.0000 0.0000
Ho 3.3800 1.9515 5.9104
Sm 5.0701 2.9272 2.9561
Sm 1.6900 0.9757 8.8647
```

Values from the calculation:
Relative energy among the computed polymorphs, meV per atom: 252.9
ΔH_f (0 K), eV per atom: 0.44
Crystal system: trigonal
Uncorrected energy, eV/atom: -5.037

Record 2
The following is a DFT calculation (GGA-PBE) of a geometry-optimized SrCa2InPd structure.

```
5
Lattice="-4.0606 -1.5762 3.4697 3.7775 -2.3342 3.3605 0.4840 4.6205 2.6654" Properties=species:S:1:pos:R:3 pbc="T T T"
Sr 0.1005 0.3550 4.7478
Pd 0.0000 0.0000 0.0000
Ca 1.8888 -1.1671 1.6802
Ca -2.0303 -0.7881 1.7348
In 0.2420 2.3102 1.3327
```

Values from the calculation:
Relative energy among the computed polymorphs, meV per atom: 0.0
ΔH_f (0 K), eV per atom: -0.37
Crystal system: tetragonal
Uncorrected energy, eV/atom: -3.096

Record 3
The following is a DFT calculation (GGA-PBE) of a geometry-optimized Tl2PtI6 structure.

```
18
Lattice="-2.5212 -5.3420 4.8237 6.4587 -3.9347 -0.9817 4.9626 5.8754 9.1006" Properties=species:S:1:pos:R:3 pbc="T T T"
I 2.0354 -1.5681 7.7025
I 1.1261 1.3333 2.0651
I 4.4508 -4.7603 0.6463
I 6.8646 -1.8331 5.2401
I -0.5133 -4.5164 3.1957
I 4.9559 -4.0577 7.7171
I 5.5761 -0.3674 8.5364
I 3.3239 -3.0339 4.4062
I 3.8365 4.5422 7.0355
I 2.5042 -7.0650 3.1957
I 1.4333 -2.2117 0.6463
I 3.9441 0.6564 5.2254
Pt 4.4500 -1.7006 6.4713
Pt 0.0000 0.0000 0.0000
Tl -0.0200 -1.2021 4.6870
Tl 2.4613 1.7356 9.2373
Tl 6.9513 2.4392 6.3346
Tl 4.4700 -0.4985 1.7843
```

Values from the calculation:
Relative energy among the computed polymorphs, meV per atom: 0.0
Formation energy without anion corrections, meV per atom: -372
Crystal system: tetragonal
Uncorrected energy, eV/atom: -2.603

Record 4
The following is a DFT calculation (GGA-PBE) of a geometry-optimized PaAlRu2 structure.

```
4
Lattice="-2.1811 1.6040 1.2374 -2.8024 -1.0018 -0.0607 -0.3673 -3.8774 7.9592" Properties=species:S:1:pos:R:3 pbc="T T T"
Ru -3.9765 -2.5721 7.0666
Ru -1.3744 -0.7031 2.0693
Pa -2.6755 -1.6376 4.5679
Al 0.0000 0.0000 0.0000
```

Values from the calculation:
ΔH_f (0 K), eV per atom: -0.10
Crystal system: trigonal
Uncorrected energy, eV/atom: -8.049

Record 5
The following is a DFT calculation (GGA-PBE) of a geometry-optimized LiPmCd structure.

```
6
Lattice="8.0150 -4.6817 0.0000 -6.0274 7.0590 0.0000 0.0000 0.0000 5.7464" Properties=species:S:1:pos:R:3 pbc="T T T"
Pm 6.1526 -3.1246 1.4366
Pm -4.1650 5.5019 4.3098
Cd 5.1006 -2.2450 4.3098
Cd -3.1130 4.6223 1.4366
Li 7.3774 -4.1487 4.3098
Li -5.3898 6.5259 1.4366
```

Values from the calculation:
Relative energy among the computed polymorphs, meV per atom: 355.4
ΔH_f (0 K), eV per atom: 0.16
Crystal system: orthorhombic
Uncorrected energy, eV/atom: -2.363

Record 6
The following is a DFT calculation (GGA-PBE) of a geometry-optimized Pm3Nd4Er5 structure.

```
12
Lattice="5.9797 0.0000 0.0000 2.9899 7.6031 -2.6731 2.9899 -0.8701 9.2273" Properties=species:S:1:pos:R:3 pbc="T T T"
Nd 2.9899 -0.2366 5.5820
Nd 5.9797 5.0829 6.6570
Nd 5.9797 1.6502 -0.1028
Nd 8.9695 6.9696 0.9722
Er 2.9899 3.3790 -0.1556
Er 8.9696 3.3540 6.7098
Er 2.9899 0.2607 1.6760
Er 8.9695 6.4723 4.8782
Er 5.9797 3.3665 3.2771
Pm 5.9797 1.7413 5.9575
Pm 2.9899 3.3665 3.2771
Pm 5.9797 4.9918 0.5967
```

Values from the calculation:
Relative energy among the computed polymorphs, meV per atom: 203.1
ΔH_f (0 K), eV per atom: 0.22
Crystal system: monoclinic
Uncorrected energy, eV/atom: -4.458

- What is the uncorrected energy in the fourth record?
  -8.049 eV/atom

- uncorrected energy of number 4 (PaAlRu2)?
  -8.049 eV/atom